Entry 1:
This record from the Alexandria database describes a relaxed ScSbPb2O6 crystal. The functional is PBE.

a b c (Å): 5.7908 8.2022 5.8983
angles (deg): 90.00 90.00 90.00
Last column: nearest neighbours and their distance in Å.
Space group Imm2 (No. 44)
Symmetry-distinct sites (fractional):
Sc1 0.0000 0.0000 0.0000  6 O 2.03-2.23
Sb1 0.0000 0.5000 0.9819  6 O 1.99-2.03
Pb1 0.0000 0.2413 0.5393  5 O 2.48-2.76
O1 0.0000 0.2554 0.9586  1 Sb 2.01, 1 Sc 2.11
O2 0.2358 0.5000 0.7270  1 Sb 2.03, 1 Sc 2.03
O3 0.2424 0.0000 0.7055  1 Sb 1.99

Calculated values
M_tot: 0.000 Bohr magnetons per cell

---

Entry 2:
This record from the Alexandria database describes a relaxed ScSbPbO6 crystal. The functional is PBE.

a b c (Å): 5.3908 5.3908 9.2308
angles (deg): 90.00 90.00 120.00
Last column: nearest neighbours and their distance in Å.
Space group P-31c (No. 163)
Symmetry-distinct sites (fractional):
Sc1 0.3333 0.6667 0.2500  6 O 2.11
Sb1 0.3333 0.6667 0.7500  6 O 2.01
Pb1 0.0000 0.0000 0.0000  6 O 2.25
O1 0.0138 0.3567 0.6324  1 Sb 2.01, 1 Sc 2.11, 1 Pb 2.25

Calculated values
M_tot: 0.000 Bohr magnetons per cell

---

Entry 3:
This record from the Alexandria database describes a relaxed ScSb2PbO8 crystal. The functional is PBE.

a b c (Å): 6.8726 7.1655 6.5017
angles (deg): 90.00 90.00 90.00
Last column: nearest neighbours and their distance in Å.
Space group Cmmm (No. 65)
Symmetry-distinct sites (fractional):
Sc1 0.0000 0.0000 0.0000  6 O 2.09-2.24
Sb1 0.0000 0.5000 0.2431  6 O 1.99-2.09
Pb1 0.0000 0.0000 0.5000  6 O 2.28-2.33
O1 0.0000 0.3129 0.0000  2 Sb 2.07, 1 Sc 2.24
O2 0.0000 0.3256 0.5000  2 Sb 2.09, 1 Pb 2.33
O3 0.2114 0.0000 0.2307  1 Sb 1.99, 1 Sc 2.09

Calculated values
M_tot: 0.000 Bohr magnetons per cell

---

Entry 4:
This record from the Alexandria database describes a relaxed SmSbPb2O6 crystal. The functional is PBE.

a b c (Å): 5.9733 5.9979 10.3640
angles (deg): 90.00 125.17 90.00
Last column: nearest neighbours and their distance in Å.
Space group P2_1/c (No. 14)
Symmetry-distinct sites (fractional):
Sm1 0.0000 0.0000 0.0000  6 O 2.32-2.33
Sb1 0.5000 0.0000 0.5000  6 O 2.02-2.03
Pb1 0.2491 0.0280 0.7543  4 O 2.55-2.78
O1 0.1864 0.1937 0.4568  1 Sb 2.02
O2 0.2759 0.7227 0.4611  1 Sb 2.02
O3 0.3491 0.0162 0.2681  1 Sb 2.03

Calculated values
M_tot: 0.000 Bohr magnetons per cell

---

Entry 5:
This record from the Alexandria database describes a relaxed Sn2Sb2Pb4O13 crystal. The functional is PBE.

a b c (Å): 7.5631 7.6214 10.7441
angles (deg): 90.00 90.00 90.00
Last column: nearest neighbours and their distance in Å.
Space group Imm2 (No. 44)
Symmetry-distinct sites (fractional):
Sn1 0.2495 0.0000 0.0000  6 O 2.07-2.12
Sb1 0.0000 0.2494 0.2494  6 O 2.00-2.04
Pb1 0.0000 0.2503 0.7498  1 O 2.35
Pb2 0.2471 0.0000 0.5010  1 O 2.32
O1 0.0000 0.0000 0.3163  2 Sb 2.03
O2 0.0000 0.0000 0.9215  2 Sn 2.07
O3 0.0000 0.5000 0.1815  2 Sb 2.04
O4 0.0000 0.5000 0.5802  2 Sn 2.08
O5 0.0000 0.5000 0.8784  4 Pb 2.32-2.35
O6 0.1925 0.2033 0.1259  1 Sb 2.00, 1 Sn 2.10
O7 0.1944 0.2947 0.3734  1 Sb 2.01, 1 Sn 2.12

Calculated values
M_tot: 0.000 Bohr magnetons per cell

---

Entry 6:
This record from the Alexandria database describes a relaxed SnSb2PbO8 crystal. The functional is PBE.

a b c (Å): 6.9153 7.2437 6.6248
angles (deg): 90.00 90.00 90.00
Last column: nearest neighbours and their distance in Å.
Space group Cmmm (No. 65)
Symmetry-distinct sites (fractional):
Sn1 0.0000 0.0000 0.0000  6 O 2.09-2.25
Sb1 0.0000 0.5000 0.2452  6 O 2.00-2.13
Pb1 0.0000 0.0000 0.5000  6 O 2.34-2.39
O1 0.0000 0.3102 0.0000  2 Sb 2.13, 1 Sn 2.25
O2 0.0000 0.3302 0.5000  2 Sb 2.09
O3 0.2112 0.0000 0.2250  1 Sb 2.00, 1 Sn 2.09

Calculated values
M_tot: 0.000 Bohr magnetons per cell

---

Result set for E: -6.62, -6.64, -6.53, -6.44, -6.00, -5.93 eV per atom, one per record in the order listed.